1.
VASP calculation (PBE) on a relaxed structure of ThGaTc2C.

For the formation enthalpy at 0 K, the calculation gives -320 meV per atom. Its density of states at the Fermi level is 3.53 states/eV/f.u. As for the volume: 16.9 A^3/atom. The theoretical density comes out at 10.04 g cm⁻³.

The structure belongs to space group Cmcm (No. 63); the cell edges are 3.973, 11.139 and 7.621 Å and the angles 90.00°, 90.00° and 90.00°. Symmetry generates all atoms from Th at (0.000, 0.042, 0.250), Ga at (0.000, 0.236, 0.750), Tc at (0.000, 0.329, 0.057) and C at (0.000, 0.500, 0.000).



2.
VASP calculation (PBE) on a relaxed structure of In2BrF.

The uncorrected formation energy is -1.00 eV per atom. As for the volume: 25.0 A^3/atom. The theoretical density comes out at 5.45 g cm⁻³.

The structure belongs to space group P4/mmm (No. 123); the cell edges are 3.652, 3.652 and 7.501 Å and the angles 90.00°, 90.00° and 90.00°. Symmetry generates all atoms from In at (0.000, 0.000, 0.212), Br at (0.500, 0.500, 0.500) and F at (0.500, 0.500, 0.000).



3.
VASP calculation (PBE) on a relaxed structure of SrAcCdIr.

For the formation enthalpy at 0 K, the calculation gives -219 meV per atom. Its density of states at the Fermi level is 4.21 states/eV/f.u. As for the volume: 28.0 A^3/atom. The theoretical density comes out at 9.19 g cm⁻³.

The structure belongs to space group F-43m (No. 216); the cell edges are 7.650, 7.650 and 7.650 Å and the angles 90.00°, 90.00° and 90.00°. Symmetry generates all atoms from Sr at (0.000, 0.000, 0.000), Ac at (0.000, 0.000, 0.500), Cd at (0.250, 0.250, 0.250) and Ir at (0.250, 0.250, 0.750).



4.
VASP calculation (PBE) on a relaxed structure of Pa4As2PSe.

The uncorrected formation energy is -1.17 eV per atom. Its density of states at the Fermi level is 11.37 states/eV/f.u. As for the volume: 23.6 A^3/atom. The theoretical density comes out at 10.41 g cm⁻³.

The structure belongs to space group P2/m (No. 10); the cell edges are 6.946, 4.055 and 7.111 Å and the angles 90.00°, 109.43° and 90.00°. Symmetry generates all atoms from Pa at (0.239, 0.000, 0.239), Pa at (0.245, 0.500, 0.756), As at (0.500, 0.000, 0.000), As at (0.500, 0.500, 0.500), P at (0.000, 0.500, 0.000) and Se at (0.000, 0.000, 0.500).